MnGa: relaxed, GGA-PBE.

Output
Formation energy ... -105 meV per atom
E ... -0.4559 Ry/atom
Crystal system ... trigonal

Cell and atoms, written as CIF:
```
data_MnGa
_symmetry_space_group_name_H-M 'R -3 m'
_symmetry_Int_Tables_number 166
_symmetry_space_group_name_Hall '-R 3 2"'
_cell_length_a 12.6211
_cell_length_b 12.6211
_cell_length_c 7.8458
_cell_angle_alpha 90.00
_cell_angle_beta 90.00
_cell_angle_gamma 120.00
loop_
_atom_site_label
_atom_site_type_symbol
_atom_site_fract_x
_atom_site_fract_y
_atom_site_fract_z
Mn1 Mn 0.0000 0.0000 0.0000
Mn2 Mn 0.0732 0.1463 0.2460
Mn3 Mn 0.0969 0.5484 0.2370
Ga1 Ga 0.0000 0.0000 0.5000
Ga2 Ga 0.0000 0.3834 0.0000
Ga3 Ga 0.0997 0.5498 0.5893
```

Hg2C2Br: relaxed, GGA-PBE.

Output
E ... -0.2240 Ry/atom
Energy relative to the lowest polymorph listed for this composition ... 0 meV/atom
Crystal system ... tetragonal

Cell and atoms, written as CIF:
```
data_Hg2C2Br
_symmetry_space_group_name_H-M 'P 4/m b m'
_symmetry_Int_Tables_number 127
_symmetry_space_group_name_Hall '-P 4 2ab'
_cell_length_a 7.610
_cell_length_b 7.610
_cell_length_c 3.891
_cell_angle_alpha 90.00
_cell_angle_beta 90.00
_cell_angle_gamma 90.00
loop_
_atom_site_label
_atom_site_type_symbol
_atom_site_fract_x
_atom_site_fract_y
_atom_site_fract_z
Hg1 Hg 0.160 0.340 0.000
C1 C 0.060 0.560 0.500
Br1 Br 0.000 0.000 0.000
```

MgTl: relaxed, GGA-PBE.

Output
Formation energy ... -19 meV per atom
E ... -0.1470 Ry/atom
Crystal system ... hexagonal

Cell and atoms, written as CIF:
```
data_MgTl
_symmetry_space_group_name_H-M 'P 63/m m c'
_symmetry_Int_Tables_number 194
_symmetry_space_group_name_Hall '-P 6c 2c'
_cell_length_a 3.4478
_cell_length_b 3.4478
_cell_length_c 10.0059
_cell_angle_alpha 90.00
_cell_angle_beta 90.00
_cell_angle_gamma 120.00
loop_
_atom_site_label
_atom_site_type_symbol
_atom_site_fract_x
_atom_site_fract_y
_atom_site_fract_z
Mg1 Mg 0.3333 0.6667 0.2500
Tl1 Tl 0.0000 0.0000 0.0000
```

Li4PmAg8: relaxed, GGA-PBE.

Output
Formation energy ... -180 meV per atom
E ... -0.2124 Ry/atom
Crystal system ... tetragonal

Cell and atoms, written as CIF:
```
data_Li4PmAg8
_symmetry_space_group_name_H-M 'I 4/m m m'
_symmetry_Int_Tables_number 139
_symmetry_space_group_name_Hall '-I 4 2'
_cell_length_a 9.419
_cell_length_b 9.419
_cell_length_c 5.251
_cell_angle_alpha 90.00
_cell_angle_beta 90.00
_cell_angle_gamma 90.00
loop_
_atom_site_label
_atom_site_type_symbol
_atom_site_fract_x
_atom_site_fract_y
_atom_site_fract_z
Li1 Li 0.250 0.250 0.250
Pm1 Pm 0.000 0.000 0.000
Ag1 Ag 0.000 0.218 0.500
Ag2 Ag 0.000 0.349 0.000
```

KBeP2: relaxed, GGA-PBE.

Output
Formation energy ... 393 meV per atom
E ... -0.2585 Ry/atom
Crystal system ... orthorhombic

Cell and atoms, written as CIF:
```
data_KBeP2
_symmetry_space_group_name_H-M 'I m m 2'
_symmetry_Int_Tables_number 44
_cell_length_a 3.246
_cell_length_b 5.823
_cell_length_c 9.277
_cell_angle_alpha 90.00
_cell_angle_beta 90.00
_cell_angle_gamma 90.00
loop_
_symmetry_equiv_pos_as_xyz
'x,y,z'
'-x,-y,z'
'-x,y,z'
'x,-y,z'
'x+1/2,y+1/2,z+1/2'
'-x+1/2,-y+1/2,z+1/2'
'-x+1/2,y+1/2,z+1/2'
'x+1/2,-y+1/2,z+1/2'
loop_
_atom_site_label
_atom_site_type_symbol
_atom_site_fract_x
_atom_site_fract_y
_atom_site_fract_z
K1 K 0.000 0.000 0.000
Be1 Be 0.000 0.500 0.155
P1 P 0.000 0.000 0.493
P2 P 0.000 0.500 0.823
```

MoPb: relaxed, GGA-PBE.

Output
Formation energy ... 918 meV per atom
E ... -0.4669 Ry/atom
Energy relative to the lowest polymorph listed for this composition ... 592 meV/atom
Crystal system ... hexagonal

Cell and atoms, written as CIF:
```
data_MoPb
_symmetry_space_group_name_H-M 'P 63/m m c'
_symmetry_Int_Tables_number 194
_symmetry_space_group_name_Hall '-P 6c 2c'
_cell_length_a 4.7021
_cell_length_b 4.7021
_cell_length_c 4.9509
_cell_angle_alpha 90.00
_cell_angle_beta 90.00
_cell_angle_gamma 120.00
loop_
_atom_site_label
_atom_site_type_symbol
_atom_site_fract_x
_atom_site_fract_y
_atom_site_fract_z
Mo1 Mo 0.0000 0.0000 0.0000
Pb1 Pb 0.3333 0.6667 0.2500
```

Sr4Mg2Al: relaxed, GGA-PBE.

Output
Formation energy ... -3 meV per atom
E ... -0.1436 Ry/atom
Crystal system ... trigonal

Cell and atoms, written as CIF:
```
data_Sr4Mg2Al
_symmetry_space_group_name_H-M 'R -3 m'
_symmetry_Int_Tables_number 166
_symmetry_space_group_name_Hall '-R 3 2"'
_cell_length_a 5.7719
_cell_length_b 5.7719
_cell_length_c 28.5496
_cell_angle_alpha 90.00
_cell_angle_beta 90.00
_cell_angle_gamma 120.00
loop_
_atom_site_label
_atom_site_type_symbol
_atom_site_fract_x
_atom_site_fract_y
_atom_site_fract_z
Sr1 Sr 0.0000 0.0000 0.1236
Sr2 Sr 0.0000 0.0000 0.3741
Mg1 Mg 0.0000 0.0000 0.2534
Al1 Al 0.0000 0.0000 0.0000
```

SnGeO4F: relaxed, GGA-PBE.

Output
E ... -0.4180 Ry/atom
Crystal system ... monoclinic

Cell and atoms, written as CIF:
```
data_SnGeO4F
_symmetry_space_group_name_H-M 'C 1 2/m 1'
_symmetry_Int_Tables_number 12
_cell_length_a 8.829
_cell_length_b 6.515
_cell_length_c 6.761
_cell_angle_alpha 90.00
_cell_angle_beta 104.43
_cell_angle_gamma 90.00
loop_
_symmetry_equiv_pos_as_xyz
'x,y,z'
'-x,-y,-z'
'-x,y,-z'
'x,-y,z'
'x+1/2,y+1/2,z'
'-x+1/2,-y+1/2,-z'
'-x+1/2,y+1/2,-z'
'x+1/2,-y+1/2,z'
loop_
_atom_site_label
_atom_site_type_symbol
_atom_site_fract_x
_atom_site_fract_y
_atom_site_fract_z
Sn1 Sn 0.209 0.000 0.086
Ge1 Ge 0.132 0.500 0.293
O1 O 0.069 0.500 0.725
O2 O 0.186 0.311 0.131
O3 O 0.244 0.500 0.547
F1 F 0.019 0.000 0.827
```